[1]
The following is a PBE calculation of crystalline YH6Rh2 at its relaxed geometry, from Alexandria via LeMat-Bulk.

Calculated values
- Space-group type: No. 12
- E: -44.31 eV per cell
- Distance to the lowest polymorph of the same formula: 0 meV per atom

The structure in extended XYZ format:
```
9
Lattice="0.152 -3.898 -0.803 3.336 -0.312 2.154 -1.130 -2.984 4.836" Properties=species:S:1:pos:R:3 pbc="T T T"
Y 0.076 -1.949 -0.402
H -0.546 -2.827 4.147
H 1.236 -2.175 1.436
H 2.904 -4.366 2.040
H 1.122 -5.019 4.751
H 2.021 -2.759 3.855
H 0.337 -4.434 2.331
Rh 0.317 -2.533 2.765
Rh 2.041 -4.660 3.422
```


[2]
The following is a PBE calculation of crystalline Y2H8Rh at its relaxed geometry, from Alexandria via LeMat-Bulk.

Calculated values
- Space-group type: No. 12
- E: -51.32 eV per cell

The structure in extended XYZ format:
```
11
Lattice="3.606 0.000 0.000 0.000 4.221 -0.121 -1.803 -1.917 6.371" Properties=species:S:1:pos:R:3 pbc="T T T"
Y 1.803 0.140 4.453
Y 0.000 2.164 1.796
H 0.000 1.261 4.900
H 1.803 3.276 1.295
H 1.803 2.211 3.265
H 0.000 0.923 -0.023
H 0.000 0.094 2.985
H 0.000 -0.971 4.955
H 1.803 1.044 1.350
H 1.803 1.382 6.273
Rh 1.803 0.000 0.000
```


[3]
The following is a PBE calculation of crystalline Y2HRh at its relaxed geometry, from Alexandria via LeMat-Bulk.

Calculated values
- Space-group type: No. 122
- E: -50.93 eV per cell
- Distance to the lowest polymorph of the same formula: 212 meV per atom

The structure in extended XYZ format:
```
8
Lattice="-1.629 3.540 -5.302 -5.668 1.700 2.876 -2.067 5.482 0.213" Properties=species:S:1:pos:R:3 pbc="T T T"
Y -2.138 3.566 -2.558
Y -4.368 3.105 0.845
Y -4.653 6.187 -0.564
Y -7.568 8.587 -2.149
H -3.648 2.620 -1.213
H -5.692 4.901 0.938
Rh 0.000 0.000 0.000
Rh -3.672 5.821 -3.151
```


[4]
The following is a PBE calculation of crystalline YHRh at its relaxed geometry, from Alexandria via LeMat-Bulk.

Calculated values
- Space-group type: No. 187
- E: -18.31 eV per cell
- Distance to the lowest polymorph of the same formula: 331 meV per atom

The structure in extended XYZ format:
```
3
Lattice="-3.524 0.953 -0.116 -0.479 -1.341 3.532 1.001 3.635 -0.537" Properties=species:S:1:pos:R:3 pbc="T T T"
Y -1.841 2.611 0.742
H -0.574 0.477 2.156
Rh -0.587 0.159 -0.019
```


[5]
The following is a PBE calculation of crystalline Y2H7Rh2 at its relaxed geometry, from Alexandria via LeMat-Bulk.

Calculated values
- Space-group type: No. 65
- E: -55.37 eV per cell

The structure in extended XYZ format:
```
11
Lattice="4.837 -0.002 -0.022 0.002 4.450 0.002 -0.323 -0.002 4.826" Properties=species:S:1:pos:R:3 pbc="T T T"
Y 3.438 2.222 3.659
Y 1.078 2.224 1.147
H 4.676 0.885 2.392
H 2.097 3.560 4.817
H -0.160 3.562 2.414
H 2.419 0.887 -0.010
H 0.000 0.000 0.000
H 2.259 3.510 2.404
H 2.257 0.936 2.403
Rh 3.485 4.448 1.252
Rh 1.031 -0.002 3.554
```


[6]
The following is a PBE calculation of crystalline Y2H2Rh at its relaxed geometry, from Alexandria via LeMat-Bulk.

Calculated values
- Space-group type: No. 127
- E: -57.55 eV per cell
- Distance to the lowest polymorph of the same formula: 373 meV per atom

The structure in extended XYZ format:
```
10
Lattice="-4.647 1.093 -4.816 3.865 -3.312 -4.481 -1.453 -2.749 0.778" Properties=species:S:1:pos:R:3 pbc="T T T"
Y 1.063 -3.435 -3.545
Y -0.737 -3.337 -6.560
Y -3.299 -1.533 -4.972
Y -1.499 -1.631 -1.958
H 1.632 -2.506 -5.803
H -1.721 -1.077 -7.017
H -2.415 0.287 -3.493
H 0.939 -1.142 -2.279
Rh 0.000 0.000 0.000
Rh -0.391 -1.110 -4.648
```


[7]
The following is a PBE calculation of crystalline YH4Rh at its relaxed geometry, from Alexandria via LeMat-Bulk.

Calculated values
- Space-group type: No. 71
- E: -30.03 eV per cell

The structure in extended XYZ format:
```
6
Lattice="4.275 1.018 0.603 1.028 4.273 0.603 0.956 0.953 3.552" Properties=species:S:1:pos:R:3 pbc="T T T"
Y 3.609 3.586 4.147
H 3.118 4.624 1.965
H 3.144 1.595 2.778
H 1.617 3.126 2.778
H 4.645 3.093 1.965
Rh 1.507 4.737 2.372
```


[8]
The following is a PBE calculation of crystalline YH2Rh2 at its relaxed geometry, from Alexandria via LeMat-Bulk.

Calculated values
- Space-group type: No. 6
- E: -29.77 eV per cell
- Distance to the lowest polymorph of the same formula: 0 meV per atom

The structure in extended XYZ format:
```
5
Lattice="3.926 0.000 0.000 0.000 3.768 -0.881 0.000 -2.764 5.237" Properties=species:S:1:pos:R:3 pbc="T T T"
Y 0.785 0.250 4.531
H 0.785 -0.252 2.353
H 2.748 1.634 1.918
Rh 0.785 1.631 1.913
Rh 2.748 -0.253 2.353
```


[9]
The following is a PBE calculation of crystalline YHRh at its relaxed geometry, from Alexandria via LeMat-Bulk.

Calculated values
- Space-group type: No. 74
- E: -38.60 eV per cell
- Distance to the lowest polymorph of the same formula: 0 meV per atom

The structure in extended XYZ format:
```
6
Lattice="-4.143 -0.249 -2.673 -1.173 -4.239 -2.353 -3.809 -2.795 1.600" Properties=species:S:1:pos:R:3 pbc="T T T"
Y -8.518 -6.162 -2.847
Y -3.955 -2.521 -1.134
H -5.860 -3.918 -0.334
H -7.931 -4.043 -1.671
Rh -2.917 -4.900 -2.525
Rh -6.166 -4.380 -2.097
```


[10]
The following is a PBE calculation of crystalline Y3HRh at its relaxed geometry, from Alexandria via LeMat-Bulk.

Calculated values
- Space-group type: No. 221
- E: -31.31 eV per cell
- Distance to the lowest polymorph of the same formula: 0 meV per atom

The structure in extended XYZ format:
```
5
Lattice="4.691 0.000 0.000 0.000 4.691 0.000 0.000 0.000 4.691" Properties=species:S:1:pos:R:3 pbc="T T T"
Y 0.000 2.345 0.000
Y 0.000 0.000 2.345
Y 2.345 0.000 0.000
H 0.000 0.000 0.000
Rh 2.345 2.345 2.345
```


Calculated total magnetization in order - 0.00 0.00 0.00 0.00 0.00 0.00 0.00 0.00 0.00 0.00 μB/f.u.